(1)
Material: TaTiBe2
Method: DFT, PBE-GGA
State: relaxed

Geometry as POSCAR:
```
TaTiBe2
1.0
6.6487 0.0000 0.0000
0.0000 6.6487 0.0000
3.3243 3.3243 2.4785
Be Ti Ta
4 2 2
Cartesian
4.9536 1.6622 0.6196
1.6950 4.9865 0.6196
4.9865 5.0194 1.8589
8.3108 8.2779 1.8589
3.3243 3.3243 0.0000
3.3243 6.6487 1.2393
0.0000 0.0000 0.0000
6.6487 3.3243 1.2393
```

Calculated values
Space group   I-42d
Energy of formation   0.403 eV/atom
Density of states at the Fermi level   0.758 states/eV per atom

=====

(2)
Material: Ta3TiBe8
Method: DFT, PBE-GGA
State: relaxed

Geometry as POSCAR:
```
Ta3TiBe8
1.0
-2.2487 1.3936 3.7521
-4.1794 -1.6619 0.9212
0.9470 -5.6818 5.4866
Ta Ti Be
3 1 8
Cartesian
-1.5843 -5.0679 6.5502
-6.4130 -0.2955 4.6925
-2.7585 -2.9426 5.0571
-5.2606 -2.3814 6.1579
-3.7692 -0.4645 4.9424
-4.2428 -4.8740 6.2791
-2.6392 -1.1647 3.0570
-5.3753 -4.1721 8.1688
-0.7890 -2.5397 3.2791
-3.5307 -5.5125 8.3576
-4.7393 -1.9998 3.5199
-3.2704 -3.3351 7.7048
```

Calculated values
Space group   R3m
Energy of formation   -0.190 eV/atom
Density of states at the Fermi level   0.626 states/eV per atom

=====

(3)
Material: TaTiBe2
Method: DFT, PBE-GGA
State: relaxed

Geometry as POSCAR:
```
TaTiBe2
1.0
-2.9930 -0.0881 0.4926
0.3810 -2.3379 1.8968
0.6032 3.5924 4.3066
Be Ti Ta
2 1 1
Cartesian
0.4601 2.7402 3.2851
0.1431 0.8521 1.0216
-1.3060 -1.2130 1.1947
-1.0044 0.5832 3.3480
```

Calculated values
Space group   P4/mmm
Energy of formation   -0.042 eV/atom
Density of states at the Fermi level   0.649 states/eV per atom

=====

(4)
Material: TaTiBe2
Method: DFT, PBE-GGA
State: relaxed

Geometry as POSCAR:
```
TaTiBe2
1.0
-3.8148 -1.7015 -0.3111
-3.3829 2.4630 -0.1865
-2.1553 0.3306 -3.5763
Be Ti Ta
2 1 1
Cartesian
-2.3383 0.2730 -1.0185
-7.0148 0.8191 -3.0555
0.0000 0.0000 0.0000
-4.6765 0.5461 -2.0370
```

Calculated values
Space group   Fm-3m
Energy of formation   -0.021 eV/atom
Density of states at the Fermi level   1.071 states/eV per atom

=====

(5)
Material: TaTi2Be6
Method: DFT, PBE-GGA
State: relaxed

Geometry as POSCAR:
```
TaTi2Be6
1.0
-0.6370 1.2926 -2.5534
3.4201 -4.4045 -3.0830
-6.2091 -0.9573 1.0645
Ta Ti Be
1 2 6
Cartesian
-6.2090 -0.9573 1.0645
-2.9993 -2.1064 -0.3180
-0.4266 -1.9629 -4.2538
-1.2497 -1.1439 -1.9506
-2.1763 -2.9253 -2.6213
-4.4545 0.0086 -0.5676
-4.2493 -3.2450 -2.2658
0.8234 -0.8243 -2.3060
-2.3916 0.3267 -0.9213
```

Calculated values
Space group   P6/mmm
Energy of formation   -0.171 eV/atom
Density of states at the Fermi level   0.840 states/eV per atom

=====

(6)
Material: TaTiBe3
Method: DFT, PBE-GGA
State: relaxed

Geometry as POSCAR:
```
TaTiBe3
1.0
2.9646 0.0000 -0.4082
0.0000 3.6420 0.0000
0.0326 0.0000 11.2064
Ta Ti Be
2 2 6
Cartesian
2.7809 2.7315 9.2276
0.2163 0.9105 1.5707
0.6375 2.7315 4.6302
2.3597 0.9105 6.1680
1.8413 2.7315 2.4030
1.1559 0.9105 8.3952
1.5537 2.7315 0.3146
1.4435 0.9105 10.4836
1.9924 0.9105 3.5006
1.0048 2.7315 7.2976
```

Calculated values
Space group   Cmcm
Energy of formation   -0.153 eV/atom
Density of states at the Fermi level   0.551 states/eV per atom

=====

(7)
Material: Ta2TiBe
Method: DFT, PBE-GGA
State: relaxed

Geometry as POSCAR:
```
Ta2TiBe
1.0
-2.3637 1.0486 3.0489
-1.9368 -3.4602 -0.3114
2.5572 -1.6612 2.5539
Be Ti Ta
1 1 2
Cartesian
-1.1818 0.5243 1.5244
-0.8716 -2.0364 2.6457
1.2786 -0.8306 1.2769
-0.9684 -1.7301 -0.1557
```

Calculated values
Space group   P4/mmm
Energy of formation   0.071 eV/atom
Density of states at the Fermi level   0.832 states/eV per atom

=====

(8)
Material: Ta3TiBe
Method: DFT, PBE-GGA
State: relaxed

Geometry as POSCAR:
```
Ta3TiBe
1.0
-3.1175 1.2348 3.2333
1.1390 -3.7432 2.5277
3.2683 2.4823 2.2033
Be Ti Ta
1 1 3
Cartesian
0.6449 -0.0131 3.9821
0.0000 0.0000 0.0000
0.5695 -1.8716 1.2638
1.6342 1.2411 1.1016
-1.5588 0.6174 1.6167
```

Calculated values
Space group   Pm-3m
Energy of formation   1.724 eV/atom
Density of states at the Fermi level   1.008 states/eV per atom

=====

(9)
Material: TaTiBe3
Method: DFT, PBE-GGA
State: relaxed

Geometry as POSCAR:
```
TaTiBe3
1.0
-2.9928 3.1179 0.1890
-1.2042 -1.3932 3.9144
2.8821 2.6555 1.8318
Be Ti Ta
3 1 1
Cartesian
-0.6021 -0.6966 1.9572
1.4411 1.3277 0.9159
-1.4964 1.5589 0.0945
-0.6574 2.1901 2.9676
0.0000 0.0000 0.0000
```

Calculated values
Space group   Pm-3m
Energy of formation   1.347 eV/atom
Density of states at the Fermi level   1.236 states/eV per atom

=====

(10)
Material: TaTiBe3
Method: DFT, PBE-GGA
State: relaxed

Geometry as POSCAR:
```
TaTiBe3
1.0
4.0895 0.0000 0.0000
0.0000 4.0895 0.0000
0.0000 0.0000 4.0895
Be Ti Ta
3 1 1
Cartesian
0.0000 2.0448 0.0000
2.0448 0.0000 0.0000
0.0000 0.0000 2.0448
0.0000 0.0000 0.0000
2.0448 2.0448 2.0448
```

Calculated values
Space group   Pm-3m
Energy of formation   1.250 eV/atom
Density of states at the Fermi level   0.652 states/eV per atom

=====

(11)
Material: Ta2TiBe
Method: DFT, PBE-GGA
State: relaxed

Geometry as POSCAR:
```
Ta2TiBe
1.0
2.2125 -3.8290 -0.5521
-0.2716 -3.1965 3.0935
-2.2323 -3.7581 -0.8691
Be Ti Ta
1 1 2
Cartesian
0.0000 0.0000 0.0000
-0.1457 -5.3918 0.8362
-0.0729 -2.6959 0.4181
-0.2186 -8.0878 1.2542
```

Calculated values
Space group   Fm-3m
Energy of formation   0.242 eV/atom
Density of states at the Fermi level   0.892 states/eV per atom

=====

(12)
Material: Ta3TiBe
Method: DFT, PBE-GGA
State: relaxed

Geometry as POSCAR:
```
Ta3TiBe
1.0
-1.4834 -4.0865 0.8961
4.0937 -1.2217 1.2052
-0.8629 1.2291 4.1771
Be Ti Ta
1 1 3
Cartesian
0.0000 0.0000 0.0000
0.8737 -2.0396 3.1391
2.0468 -0.6108 0.6026
-0.4314 0.6146 2.0885
-0.7417 -2.0433 0.4480
```

Calculated values
Space group   Pm-3m
Energy of formation   0.547 eV/atom
Density of states at the Fermi level   1.171 states/eV per atom

=====

(13)
Material: TaTiBe2
Method: DFT, PBE-GGA
State: relaxed

Geometry as POSCAR:
```
TaTiBe2
1.0
-2.9601 -1.7445 -0.0668
0.9117 -1.4123 -3.5170
1.7579 -3.0471 1.6793
Be Ti Ta
2 1 1
Cartesian
0.8790 -1.5236 0.8396
0.4559 -0.7061 -1.7585
-1.4801 -0.8723 -0.0334
-0.1452 -3.1020 -0.9523
```

Calculated values
Space group   P4/mmm
Energy of formation   -0.054 eV/atom
Density of states at the Fermi level   0.621 states/eV per atom

=====

(14)
Material: Ta2TiBe
Method: DFT, PBE-GGA
State: relaxed

Geometry as POSCAR:
```
Ta2TiBe
1.0
2.9515 0.0000 0.0000
1.4758 2.5561 0.0000
1.4758 0.8520 8.6938
Be Ti Ta
1 1 2
Cartesian
0.0000 0.0000 0.0000
2.9515 1.7041 4.3469
1.4758 0.8520 1.9708
4.4273 2.5561 6.7230
```

Calculated values
Space group   R-3m
Energy of formation   0.246 eV/atom
Density of states at the Fermi level   1.062 states/eV per atom

=====

(15)
Material: Ta2TiBe
Method: DFT, PBE-GGA
State: relaxed

Geometry as POSCAR:
```
Ta2TiBe
1.0
-7.0023 -0.6883 -1.0148
0.6550 -7.0732 0.2777
-3.5523 -3.8150 2.1998
Be Ti Ta
2 2 4
Cartesian
-3.1736 -3.8807 -0.3686
-3.0355 -7.3844 1.0544
0.0000 0.0000 0.0000
-6.8641 -4.1920 0.4082
-4.9601 -2.2462 -0.0174
-1.5765 -5.4824 0.5644
-5.0237 -5.9965 1.3822
-8.2389 -9.4278 0.9960
```

Calculated values
Space group   I-42d
Energy of formation   0.494 eV/atom
Density of states at the Fermi level   0.698 states/eV per atom

=====

(16)
Material: TaTi2Be2
Method: DFT, PBE-GGA
State: relaxed

Geometry as POSCAR:
```
TaTi2Be2
1.0
-4.5809 -4.9645 0.8476
4.5257 -4.5604 -2.2517
0.9772 -0.4209 2.8165
Be Ti Ta
4 4 2
Cartesian
2.2415 -5.9656 -1.6692
-1.2883 -7.1990 -0.6288
-2.2967 -3.5592 0.2650
1.2332 -2.3259 -0.7754
2.7415 -4.2086 0.0291
1.0814 -7.3260 0.1393
-1.8194 -5.7372 1.3832
-0.1593 -2.6198 1.2730
0.0000 0.0000 0.0000
-0.0276 -4.7624 -0.7021
```

Calculated values
Space group   P4/mbm
Energy of formation   -0.059 eV/atom
Density of states at the Fermi level   1.190 states/eV per atom

=====

(17)
Material: TaTiBe2
Method: DFT, PBE-GGA
State: relaxed

Geometry as POSCAR:
```
TaTiBe2
1.0
-2.6324 -0.7108 -1.3700
-1.1283 -2.8255 0.2356
-4.7241 0.6826 5.3246
Be Ti Ta
2 1 1
Cartesian
-2.1050 -0.7221 1.0209
-6.3799 -2.1316 3.1692
0.0000 0.0000 0.0000
-4.2424 -1.4268 2.0951
```

Calculated values
Space group   R-3m
Energy of formation   0.307 eV/atom
Density of states at the Fermi level   0.850 states/eV per atom

=====

(18)
Material: TaTiBe17
Method: DFT, PBE-GGA
State: relaxed

Geometry as POSCAR:
```
TaTiBe17
1.0
5.5062 0.0161 0.6676
0.5935 5.4742 0.6676
0.0178 0.0161 5.5465
Ta Ti Be
1 1 17
Cartesian
4.0518 3.6469 4.5579
2.0661 1.8596 2.3241
1.6318 0.0216 4.1084
4.0575 1.6205 0.6727
0.4294 3.8652 2.1019
2.0372 3.8652 0.6727
0.1926 1.6205 4.1084
3.8889 0.0216 2.1019
2.4144 4.6110 2.7159
2.1303 1.9174 5.1237
4.8388 1.9174 2.7159
3.7039 0.9083 4.1666
3.9865 3.5882 1.7711
1.2918 3.5882 4.1666
5.8106 2.7739 6.5364
6.0968 5.4876 4.1107
3.3680 5.4876 6.5364
5.5176 4.9663 6.2068
0.6025 0.5423 0.6778
```

Calculated values
Space group   R3m
Energy of formation   -0.205 eV/atom
Density of states at the Fermi level   0.154 states/eV per atom

=====

(19)
Material: Ta2TiBe
Method: DFT, PBE-GGA
State: relaxed

Geometry as POSCAR:
```
Ta2TiBe
1.0
3.2206 0.0000 0.0000
0.0000 3.2206 0.0000
0.0000 0.0000 5.9841
Be Ti Ta
1 1 2
Cartesian
1.6103 1.6103 0.0000
1.6103 1.6103 2.9920
0.0000 0.0000 4.6179
0.0000 0.0000 1.3662
```

Calculated values
Space group   P4/mmm
Energy of formation   0.084 eV/atom
Density of states at the Fermi level   1.042 states/eV per atom

=====

(20)
Material: TaBeTl
Method: DFT, PBE-GGA
State: relaxed

Geometry as POSCAR:
```
TaBeTl
1.0
3.8112 0.0000 0.0000
-1.9056 3.3006 0.0000
0.0000 0.0000 8.9559
Be Tl Ta
2 2 2
Cartesian
0.0000 0.0000 6.7429
0.0000 0.0000 4.5494
1.9056 1.1002 7.9116
0.0000 0.0000 1.3034
0.0000 2.2004 5.4650
1.9056 1.1002 3.5095
```

Calculated values
Space group   P3m1
Energy of formation   0.440 eV/atom
Density of states at the Fermi level   0.409 states/eV per atom

=====

(21)
Material: Ta3BeTl
Method: DFT, PBE-GGA
State: relaxed

Geometry as POSCAR:
```
Ta3BeTl
1.0
-0.9406 -1.1199 -4.8344
4.7360 -1.6718 -0.5342
-1.4818 -4.6326 1.3615
Be Tl Ta
1 1 3
Cartesian
1.1569 -3.7122 -2.0036
0.0000 0.0000 0.0000
2.3680 -0.8359 -0.2671
-0.7409 -2.3163 0.6807
-0.4703 -0.5600 -2.4172
```

Calculated values
Space group   Pm-3m
Energy of formation   2.708 eV/atom
Density of states at the Fermi level   0.405 states/eV per atom

=====

(22)
Material: TaBeTl2
Method: DFT, PBE-GGA
State: relaxed

Geometry as POSCAR:
```
TaBeTl2
1.0
3.7362 0.0000 0.0000
0.0000 3.0445 -0.0167
0.0000 3.0844 7.3569
Be Tl Ta
1 2 1
Cartesian
0.0000 2.6869 4.2309
0.0000 5.7460 6.9939
1.8681 2.6770 2.2205
1.8681 4.2124 4.9052
```

Calculated values
Space group   Pmm2
Energy of formation   0.516 eV/atom
Density of states at the Fermi level   0.561 states/eV per atom

=====

(23)
Material: TaBeTl
Method: DFT, PBE-GGA
State: relaxed

Geometry as POSCAR:
```
TaBeTl
1.0
3.7530 0.0000 0.0000
0.0000 15.9627 0.0000
0.0000 0.0000 3.5132
Be Tl Ta
4 4 4
Cartesian
0.0000 7.4089 0.8783
0.0000 8.5537 2.6349
1.8765 15.3903 0.8783
1.8765 0.5724 2.6349
0.0000 4.9025 0.8783
0.0000 11.0602 2.6349
1.8765 12.8838 0.8783
1.8765 3.0789 2.6349
0.0000 1.0717 0.8783
0.0000 14.8909 2.6349
1.8765 9.0531 0.8783
1.8765 6.9096 2.6349
```

Calculated values
Space group   Cmcm
Energy of formation   0.165 eV/atom
Density of states at the Fermi level   0.339 states/eV per atom

=====

(24)
Material: TaBeTl2
Method: DFT, PBE-GGA
State: relaxed

Geometry as POSCAR:
```
TaBeTl2
1.0
3.1859 0.0141 0.0000
-1.6529 2.7237 0.0000
0.0000 0.0000 9.2794
Be Tl Ta
1 2 1
Cartesian
0.7665 1.3689 2.3199
0.0000 0.0000 0.2192
0.0000 0.0000 4.4205
0.7665 1.3689 6.9596
```

Calculated values
Space group   Cmmm
Energy of formation   0.767 eV/atom
Density of states at the Fermi level   0.598 states/eV per atom

=====

(25)
Material: TaBeTl
Method: DFT, PBE-GGA
State: relaxed

Geometry as POSCAR:
```
TaBeTl
1.0
10.2254 0.0000 0.0029
0.0000 3.6739 0.0000
-1.3108 0.0000 6.2293
Be Tl Ta
4 4 4
Cartesian
1.5646 0.0000 5.4903
2.2200 1.8370 2.3756
3.8042 0.0000 5.9592
4.4596 1.8370 2.8446
0.6057 0.0000 3.1242
1.2611 1.8370 0.0096
7.9666 0.0000 2.4827
7.3112 1.8370 5.5974
3.6710 0.0000 1.5951
3.0156 1.8370 4.7098
5.2929 0.0000 4.1026
5.9483 1.8370 0.9879
```

Calculated values
Space group   Cm
Energy of formation   0.421 eV/atom
Density of states at the Fermi level   0.453 states/eV per atom

=====

(26)
Material: TaBeTl
Method: DFT, PBE-GGA
State: relaxed

Geometry as POSCAR:
```
TaBeTl
1.0
5.9393 -0.0096 0.0000
4.3736 4.0183 0.0000
-5.1565 -2.0044 2.1607
Be Tl Ta
1 1 1
Cartesian
10.1870 3.9598 0.0000
6.7388 2.6194 0.0000
3.7000 1.4382 0.0000
```

Calculated values
Space group   I4mm
Energy of formation   0.527 eV/atom
Density of states at the Fermi level   0.315 states/eV per atom